A geometry-optimized KScC3 structure. Source: Alexandria, functional PBE.

## Properties
VASP energy (eV per atom): -3.56
ΔH_f (0 K) (eV/atom): 3.464

Cell lengths 4.2348, 4.2348, 4.2348 Å; angles 90.00, 90.00, 90.00 degrees
Closest atoms and distances in Å follow each position.
Fractional coordinates of all 5 atoms:
Sc 0.5000 0.5000 0.5000  12 C 2.99
K 0.0000 0.0000 0.0000  6 C 2.12
C 0.0000 0.5000 0.0000  2 K 2.12
C 0.0000 0.0000 0.5000  2 K 2.12
C 0.5000 0.0000 0.0000  2 K 2.12